[1]
AcTbSb after structural relaxation, computed with PBE.

## Properties
SG: No. 216
Spin magnetization (μB/f.u.): 0.2
Energy (hartree per atom): -0.148
ΔE to the lowest computed polymorph (eV/atom): 0.759

a b c (Å): 7.819 7.819 7.819
angles (deg): 90.00 90.00 90.00
Positions (direct):
Ac  0.000  0.000  0.000
Ac  0.000  0.500  0.500
Ac  0.500  0.000  0.500
Ac  0.500  0.500  0.000
Tb  0.250  0.250  0.250
Tb  0.250  0.750  0.750
Tb  0.750  0.250  0.750
Tb  0.750  0.750  0.250
Sb  0.250  0.250  0.750
Sb  0.250  0.750  0.250
Sb  0.750  0.250  0.250
Sb  0.750  0.750  0.750



[2]
LaGaPd2 after structural relaxation, computed with PBE.

## Properties
SG: No. 51
Spin magnetization (μB/f.u.): 0.0
Energy (hartree per atom): -0.198

a b c (Å): 5.639 4.367 6.792
angles (deg): 90.00 90.00 90.00
Positions (direct):
La  0.250  0.000  0.217
La  0.750  0.000  0.783
Ga  0.250  0.500  0.855
Ga  0.750  0.500  0.145
Pd  0.000  0.500  0.500
Pd  0.250  0.000  0.674
Pd  0.500  0.500  0.500
Pd  0.750  0.000  0.326



[3]
BiPt18 after structural relaxation, computed with PBE.

## Properties
SG: No. 11
Spin magnetization (μB/f.u.): 0.0
Energy (hartree per atom): -0.218
ΔE to the lowest computed polymorph (eV/atom): 0.010

a b c (Å): 5.561 2.908 51.829
angles (deg): 90.00 90.00 90.00
Positions (direct):
Bi  0.125  0.250  0.357
Bi  0.875  0.750  0.643
Pt  0.124  0.250  0.756
Pt  0.125  0.250  0.056
Pt  0.125  0.250  0.131
Pt  0.125  0.250  0.206
Pt  0.125  0.250  0.281
Pt  0.125  0.250  0.831
Pt  0.125  0.250  0.906
Pt  0.125  0.250  0.981
Pt  0.134  0.250  0.680
Pt  0.374  0.750  0.244
Pt  0.375  0.750  0.019
Pt  0.375  0.750  0.094
Pt  0.375  0.750  0.169
Pt  0.375  0.750  0.719
Pt  0.375  0.750  0.794
Pt  0.375  0.750  0.869
Pt  0.375  0.750  0.944
Pt  0.383  0.750  0.320
Pt  0.617  0.250  0.680
Pt  0.625  0.250  0.056
Pt  0.625  0.250  0.131
Pt  0.625  0.250  0.206
Pt  0.625  0.250  0.281
Pt  0.625  0.250  0.831
Pt  0.625  0.250  0.906
Pt  0.625  0.250  0.981
Pt  0.626  0.250  0.756
Pt  0.866  0.750  0.320
Pt  0.875  0.750  0.019
Pt  0.875  0.750  0.094
Pt  0.875  0.750  0.169
Pt  0.875  0.750  0.719
Pt  0.875  0.750  0.794
Pt  0.875  0.750  0.869
Pt  0.875  0.750  0.944
Pt  0.876  0.750  0.244



[4]
Gd2ErCd3Cu2Ag after structural relaxation, computed with PBE.

## Properties
Formation energy from the elements (meV per atom): -303
SG: No. 38
Spin magnetization (μB/f.u.): 0.0
Energy (hartree per atom): -0.121

a b c (Å): 3.876 7.677 7.677
angles (deg): 120.03 90.00 90.00
Positions (direct):
Gd  0.000  0.205  0.795
Gd  0.000  0.795  0.205
Er  0.000  0.616  0.616
Cd  0.500  0.207  0.473
Cd  0.500  0.473  0.207
Cd  0.500  0.936  0.936
Cu  0.500  0.539  0.869
Cu  0.500  0.869  0.539
Ag  0.000  0.206  0.206



Question: Which value of spin magnetization does entry 3 give?
Answer: 0.0 μB/f.u.



Question: Number 1 is which compound?
Answer: AcTbSb